No. 1
A plane-wave DFT calculation with GGA-PBE was carried out for RbLaTe3Pd after structural relaxation.

abc: 9.331 9.331 10.530
angles: 90.00 90.00 151.44
Atoms (fractional coordinates):
Rb 0.249 0.751 0.750
Rb 0.751 0.249 0.250
La 0.000 0.000 0.000
La 0.000 0.000 0.500
Te 0.097 0.903 0.250
Te 0.387 0.613 0.098
Te 0.387 0.613 0.402
Te 0.613 0.387 0.598
Te 0.613 0.387 0.902
Te 0.903 0.097 0.750
Pd 0.494 0.506 0.750
Pd 0.506 0.494 0.250

Results
Space group: Cmcm
Total magnetization in μB per cell: 0.01
Electronic total energy in eV/atom: -4.4331

No. 2
A plane-wave DFT calculation with GGA-PBE was carried out for LaRePd after structural relaxation.

abc: 4.669 4.669 4.669
angles: 60.00 60.00 60.00
Atoms (fractional coordinates):
La 0.000 0.000 0.000
Re 0.250 0.250 0.250
Pd 0.750 0.750 0.750

Results
Relative energy among the computed polymorphs in eV/atom: 0.5459
Space group: F-43m
Total magnetization in μB per cell: 2.14
Energy relative to the elements in eV/atom: 1.141
Electronic total energy in eV/atom: -6.3658